! RbAgPd2O | Alexandria via LeMat-Bulk | PBE-GGA | optimized geometry; values from VASP
! Formation energy without anion corrections, eV per atom: 0.04
! Calculated total energy, eV per atom: -3.7901
&SYSTEM
  ibrav = 0, nat = 5, ntyp = 4
/
ATOMIC_SPECIES
Rb 85.47 Rb.upf
Ag 107.87 Ag.upf
Pd 106.42 Pd.upf
O 16.00 O.upf
ATOMIC_POSITIONS crystal
Rb 0.000 0.000 0.000
Ag 0.500 0.500 0.000
Pd 0.000 0.500 0.500
Pd 0.500 0.000 0.500
O 0.000 0.000 0.500
CELL_PARAMETERS angstrom
4.294 0.000 0.000
0.000 4.294 0.000
0.000 0.000 5.206

! RbAgPdO2 | Alexandria via LeMat-Bulk | PBE-GGA | optimized geometry; values from VASP
! Formation energy without anion corrections, eV per atom: -0.53
! Calculated total energy, eV per atom: -4.3153
&SYSTEM
  ibrav = 0, nat = 10, ntyp = 4
/
ATOMIC_SPECIES
Rb 85.47 Rb.upf
Ag 107.87 Ag.upf
Pd 106.42 Pd.upf
O 16.00 O.upf
ATOMIC_POSITIONS crystal
Rb 0.250 0.750 0.830
Rb 0.750 0.250 0.170
Ag 0.000 0.000 0.000
Ag 0.500 0.500 0.000
Pd 0.250 0.250 0.500
Pd 0.750 0.750 0.500
O 0.099 0.901 0.470
O 0.401 0.599 0.470
O 0.599 0.401 0.530
O 0.901 0.099 0.530
CELL_PARAMETERS angstrom
3.139 -6.755 0.000
3.139 6.755 0.000
0.000 0.000 4.681

! Rb2AgPdO4 | Alexandria via LeMat-Bulk | PBE-GGA | optimized geometry; values from VASP
! Formation energy without anion corrections, eV per atom: -0.45
! Calculated total energy, eV per atom: -4.1791
&SYSTEM
  ibrav = 0, nat = 16, ntyp = 4
/
ATOMIC_SPECIES
Rb 85.47 Rb.upf
Ag 107.87 Ag.upf
Pd 106.42 Pd.upf
O 16.00 O.upf
ATOMIC_POSITIONS crystal
Rb 0.054 0.054 0.696
Rb 0.304 0.304 0.946
Rb 0.696 0.696 0.054
Rb 0.946 0.946 0.304
Ag 0.375 0.375 0.375
Ag 0.625 0.625 0.625
Pd 0.125 0.125 0.125
Pd 0.875 0.875 0.875
O 0.082 0.261 0.375
O 0.217 0.625 0.739
O 0.261 0.082 0.783
O 0.375 0.783 0.082
O 0.625 0.217 0.918
O 0.739 0.918 0.217
O 0.783 0.375 0.261
O 0.918 0.739 0.625
CELL_PARAMETERS angstrom
0.000 6.418 9.882
2.779 0.000 9.882
2.779 6.418 0.000

! Ag3Pd3RhO8 | Alexandria via LeMat-Bulk | PBE-GGA | optimized geometry; values from VASP
! Formation energy without anion corrections, eV per atom: -0.33
! Calculated total energy, eV per atom: -5.0695
&SYSTEM
  ibrav = 0, nat = 15, ntyp = 4
/
ATOMIC_SPECIES
Ag 107.87 Ag.upf
Pd 106.42 Pd.upf
Rh 102.91 Rh.upf
O 16.00 O.upf
ATOMIC_POSITIONS crystal
Ag 0.000 0.000 0.000
Ag 0.000 0.500 0.000
Ag 0.500 0.000 0.000
Pd 0.000 0.000 0.500
Pd 0.000 0.500 0.500
Pd 0.500 0.000 0.500
Rh 0.500 0.500 0.500
O 0.103 0.103 0.333
O 0.111 0.604 0.335
O 0.391 0.391 0.651
O 0.396 0.889 0.665
O 0.604 0.111 0.335
O 0.609 0.609 0.349
O 0.889 0.396 0.665
O 0.897 0.897 0.667
CELL_PARAMETERS angstrom
5.474 -3.144 0.000
5.474 3.144 0.000
-4.080 0.000 6.322

! Ag2Pd2RhO6 | Alexandria via LeMat-Bulk | PBE-GGA | optimized geometry; values from VASP
! Formation energy without anion corrections, eV per atom: -0.36
! Calculated total energy, eV per atom: -5.1938
&SYSTEM
  ibrav = 0, nat = 11, ntyp = 4
/
ATOMIC_SPECIES
Ag 107.87 Ag.upf
Pd 106.42 Pd.upf
Rh 102.91 Rh.upf
O 16.00 O.upf
ATOMIC_POSITIONS crystal
Ag 0.164 0.836 0.000
Ag 0.836 0.164 0.000
Pd 0.337 0.663 0.500
Pd 0.663 0.337 0.500
Rh 0.000 0.000 0.500
O 0.045 0.714 0.664
O 0.286 0.955 0.336
O 0.367 0.367 0.659
O 0.633 0.633 0.341
O 0.714 0.045 0.664
O 0.955 0.286 0.336
CELL_PARAMETERS angstrom
2.737 -4.696 0.000
2.737 4.696 0.000
-1.389 0.000 6.267

! AgPdRhO4 | Alexandria via LeMat-Bulk | PBE-GGA | optimized geometry; values from VASP
! Formation energy without anion corrections, eV per atom: -0.46
! Calculated total energy, eV per atom: -5.4970
&SYSTEM
  ibrav = 0, nat = 14, ntyp = 4
/
ATOMIC_SPECIES
Ag 107.87 Ag.upf
Pd 106.42 Pd.upf
Rh 102.91 Rh.upf
O 16.00 O.upf
ATOMIC_POSITIONS crystal
Ag 0.380 0.130 0.250
Ag 0.620 0.870 0.750
Pd 0.000 0.500 0.500
Pd 0.500 0.500 0.000
Rh 0.000 0.000 0.500
Rh 0.000 0.500 0.000
O 0.187 0.731 0.456
O 0.225 0.269 0.956
O 0.230 0.269 0.539
O 0.230 0.692 0.961
O 0.770 0.308 0.039
O 0.770 0.731 0.461
O 0.775 0.731 0.044
O 0.813 0.269 0.544
CELL_PARAMETERS angstrom
-3.159 3.204 4.458
3.159 -3.204 4.458
3.159 3.204 -4.458

! AgPdSO4 | Alexandria via LeMat-Bulk | PBE-GGA | optimized geometry; values from VASP
! Formation energy without anion corrections, eV per atom: -0.70
! Calculated total energy, eV per atom: -5.2738
&SYSTEM
  ibrav = 0, nat = 7, ntyp = 4
/
ATOMIC_SPECIES
Ag 107.87 Ag.upf
Pd 106.42 Pd.upf
S 32.06 S.upf
O 16.00 O.upf
ATOMIC_POSITIONS crystal
Ag 0.000 0.000 0.000
Pd 0.500 0.500 0.000
S 0.750 0.250 0.500
O 0.058 0.531 0.788
O 0.469 0.257 0.527
O 0.730 0.942 0.473
O 0.743 0.270 0.212
CELL_PARAMETERS angstrom
-3.018 3.018 2.843
3.018 -3.018 2.843
3.018 3.018 -2.843

! AgPdS2O8 | Alexandria via LeMat-Bulk | PBE-GGA | optimized geometry; values from VASP
! Formation energy without anion corrections, eV per atom: -0.87
! Calculated total energy, eV per atom: -5.5356
&SYSTEM
  ibrav = 0, nat = 12, ntyp = 4
/
ATOMIC_SPECIES
Ag 107.87 Ag.upf
Pd 106.42 Pd.upf
S 32.06 S.upf
O 16.00 O.upf
ATOMIC_POSITIONS crystal
Ag 0.000 0.000 0.000
Pd 0.500 0.500 0.500
S 0.244 0.244 0.244
S 0.756 0.756 0.756
O 0.075 0.482 0.775
O 0.225 0.925 0.518
O 0.307 0.307 0.307
O 0.482 0.775 0.075
O 0.518 0.225 0.925
O 0.693 0.693 0.693
O 0.775 0.075 0.482
O 0.925 0.518 0.225
CELL_PARAMETERS angstrom
2.395 1.383 7.774
-2.395 1.383 7.774
0.000 -2.765 7.774

! AgSbPdO4 | Alexandria via LeMat-Bulk | PBE-GGA | optimized geometry; values from VASP
! Formation energy without anion corrections, eV per atom: -0.76
! Calculated total energy, eV per atom: -5.3313
&SYSTEM
  ibrav = 0, nat = 14, ntyp = 4
/
ATOMIC_SPECIES
Ag 107.87 Ag.upf
Sb 121.76 Sb.upf
Pd 106.42 Pd.upf
O 16.00 O.upf
ATOMIC_POSITIONS crystal
Ag 0.422 0.172 0.250
Ag 0.578 0.828 0.750
Sb 0.000 0.500 0.500
Sb 0.500 0.500 0.000
Pd 0.000 0.000 0.500
Pd 0.000 0.500 0.000
O 0.150 0.688 0.462
O 0.266 0.291 0.525
O 0.266 0.741 0.975
O 0.274 0.312 0.962
O 0.726 0.688 0.038
O 0.734 0.259 0.025
O 0.734 0.709 0.475
O 0.850 0.312 0.538
CELL_PARAMETERS angstrom
-2.939 3.088 5.474
2.939 -3.088 5.474
2.939 3.088 -5.474

! Sc2AgPdO | Alexandria via LeMat-Bulk | PBE-GGA | optimized geometry; values from VASP
! Formation energy without anion corrections, eV per atom: 0.22
! Calculated total energy, eV per atom: -4.9146
&SYSTEM
  ibrav = 0, nat = 5, ntyp = 4
/
ATOMIC_SPECIES
Sc 44.96 Sc.upf
Ag 107.87 Ag.upf
Pd 106.42 Pd.upf
O 16.00 O.upf
ATOMIC_POSITIONS crystal
Sc 0.000 0.500 0.000
Sc 0.500 0.000 0.000
Ag 0.000 0.000 0.000
Pd 0.500 0.500 0.500
O 0.000 0.000 0.500
CELL_PARAMETERS angstrom
5.221 0.000 0.000
0.000 5.221 0.000
0.000 0.000 3.884

! AgPdSeO2 | Alexandria via LeMat-Bulk | PBE-GGA | optimized geometry; values from VASP
! Formation energy without anion corrections, eV per atom: 0.23
! Calculated total energy, eV per atom: -4.0591
&SYSTEM
  ibrav = 0, nat = 5, ntyp = 4
/
ATOMIC_SPECIES
Ag 107.87 Ag.upf
Pd 106.42 Pd.upf
Se 78.96 Se.upf
O 16.00 O.upf
ATOMIC_POSITIONS crystal
Ag 0.000 0.000 0.000
Pd 0.000 0.000 0.500
Se 0.500 0.500 0.000
O 0.000 0.500 0.500
O 0.500 0.000 0.500
CELL_PARAMETERS angstrom
3.800 0.000 0.000
0.000 3.800 0.000
0.000 0.000 6.602

! Sm3Ag3PdO8 | Alexandria via LeMat-Bulk | PBE-GGA | optimized geometry; values from VASP
! Formation energy without anion corrections, eV per atom: -1.66
! Calculated total energy, eV per atom: -6.1610
&SYSTEM
  ibrav = 0, nat = 15, ntyp = 4
/
ATOMIC_SPECIES
Sm 150.36 Sm.upf
Ag 107.87 Ag.upf
Pd 106.42 Pd.upf
O 16.00 O.upf
ATOMIC_POSITIONS crystal
Sm 0.000 0.500 0.500
Sm 0.500 0.000 0.500
Sm 0.500 0.500 0.000
Ag 0.000 0.000 0.500
Ag 0.000 0.500 0.000
Ag 0.500 0.000 0.000
Pd 0.000 0.000 0.000
O 0.213 0.213 0.770
O 0.213 0.770 0.213
O 0.230 0.787 0.787
O 0.270 0.270 0.270
O 0.730 0.730 0.730
O 0.770 0.213 0.213
O 0.787 0.230 0.787
O 0.787 0.787 0.230
CELL_PARAMETERS angstrom
3.488 2.014 5.625
-3.488 2.014 5.625
0.000 -4.028 5.625

Number 4 is which compound?
Ag3Pd3RhO8